HfIN2O | PBE | relaxed

Calculated values
**Crystal system**: tetragonal
**Fermi-level density of states**: 3.8 states/eV/f.u.
**Raw formation energy**: 0.03 eV per atom

Lattice parameters (Å, degrees): 4.3807 4.3807 3.9785 90.00 90.00 90.00
With the nearest neighbours (Å) after each atom.
Space group P4/mmm (No. 123)
Asymmetric unit:
Hf  0.0000  0.0000  0.0000 (multiplicity 1)  2 O 1.99, 4 N 2.19
I  0.5000  0.5000  0.5000 (multiplicity 1)  8 N 2.96, 4 O 3.10
N  0.0000  0.5000  0.0000 (multiplicity 2)  2 Hf 2.19
O  0.0000  0.0000  0.5000 (multiplicity 1)  2 Hf 1.99